Computed, not measured: a geometry-optimized AcPr2OsN4 structure at the PBE level of DFT.

Structure (CIF):
```
data_AcPr2OsN4
_cell_length_a 3.5895
_cell_length_b 12.3628
_cell_length_c 12.2973
_cell_angle_alpha 90.00
_cell_angle_beta 90.00
_cell_angle_gamma 90.00
_symmetry_space_group_name_H-M 'C m c m'
_symmetry_Int_Tables_number 63
_symmetry_space_group_name_Hall '-C 2c 2'
loop_
_atom_site_label
_atom_site_type_symbol
_atom_site_fract_x
_atom_site_fract_y
_atom_site_fract_z
Ac1 Ac 0.0000 0.1108 0.2500
Pr1 Pr 0.0000 0.3678 0.0416
Os1 Os 0.0000 0.1557 0.7500
N1 N 0.0000 0.0000 0.0000
N2 N 0.0000 0.2706 0.6333
N3 N 0.0000 0.4179 0.2500
```

Spin magnetization ... 0.000 μB/atom
Energy relative to the elements, uncorrected ... -0.74 eV/atom
Raw total energy ... -8.017 eV per atom
Calculated density ... 9.19 g/cm3